1.
Density functional theory data (PBE) for TaNi2SnH after structural relaxation.

Output
The density of states at the Fermi level comes out at 1.053 states/eV per atom. The calculation puts the total energy at -6.198 eV/atom. Its crystal system is tetragonal.

a = 3.9634 Å, b = 3.9634 Å, c = 4.0029 Å
α = 90.00°, β = 90.00°, γ = 90.00°
Last column: nearest neighbours and their distance in Å.
Space group P4/mmm (No. 123)
Inequivalent atoms, fractional coordinates:
Ta: 0.0000 0.0000 0.0000  2 H 2.00
Ni: 0.0000 0.5000 0.5000  2 H 1.98
Sn: 0.5000 0.5000 0.0000  4 Ta 2.80, 8 Ni 2.82
H: 0.0000 0.0000 0.5000  4 Ni 1.98, 2 Ta 2.00

2.
Density functional theory data (PBE) for Zr3TiNi2N after structural relaxation.

Output
The density of states at the Fermi level comes out at 0.770 states/eV per atom. The value obtained for the formation energy (no corrections) is -668.2 meV per atom. The calculation puts the total energy at -8.301 eV/atom. Its crystal system is orthorhombic.

a = 4.0729 Å, b = 4.3713 Å, c = 12.9275 Å
α = 90.00°, β = 90.00°, γ = 90.00°
Last column: nearest neighbours and their distance in Å.
Space group Immm (No. 71)
Inequivalent atoms, fractional coordinates:
Zr: 0.0000 0.0000 0.0000  2 N 2.19
Zr: 0.0000 0.5000 0.1836  1 N 2.37, 1 Ni 2.43
Ti: 0.0000 0.0000 0.5000  2 N 2.04
Ni: 0.0000 0.5000 0.3719  3 Zr 2.43-2.62
N: 0.0000 0.5000 0.0000  2 Ti 2.04, 2 Zr 2.19

3.
Density functional theory data (PBE) for BaCu3Mo after structural relaxation.

Output
Its formation energy is 2.331 eV/atom. The density of states at the Fermi level comes out at 1.273 states/eV per atom. The calculation puts the total energy at -2.678 eV/atom. Its crystal system is cubic.

a = 5.0192 Å, b = 5.0192 Å, c = 5.0192 Å
α = 90.00°, β = 90.00°, γ = 90.00°
Last column: nearest neighbours and their distance in Å.
Space group Pm-3m (No. 221)
Inequivalent atoms, fractional coordinates:
Ba: 0.0000 0.0000 0.0000  6 Cu 2.51
Cu: 0.0000 0.0000 0.5000  2 Ba 2.51
Mo: 0.5000 0.5000 0.5000  12 Cu 3.55

4.
Density functional theory data (PBE) for ReTe2CBr after structural relaxation.

Output
The density of states at the Fermi level comes out at 2.520 states/eV per atom. The value obtained for the formation energy (no corrections) is 3052.8 meV per atom. The calculation puts the total energy at -2.873 eV/atom. Its crystal system is tetragonal.

a = 5.7354 Å, b = 5.7354 Å, c = 4.5275 Å
α = 90.00°, β = 90.00°, γ = 90.00°
Last column: nearest neighbours and their distance in Å.
Space group P4/mmm (No. 123)
Inequivalent atoms, fractional coordinates:
Re: 0.0000 0.0000 0.0000  2 Br 2.26
Te: 0.0000 0.5000 0.5000  2 Br 2.87
C: 0.5000 0.5000 0.0000  8 Te 3.65, 4 Re 4.06
Br: 0.0000 0.0000 0.5000  2 Re 2.26

5.
Density functional theory data (PBE) for MnCr2Pt after structural relaxation.

Output
Its formation energy is 0.558 eV/atom. The density of states at the Fermi level comes out at 1.424 states/eV per atom. The calculation puts the total energy at -8.056 eV/atom. Its crystal system is tetragonal.

a = 3.6322 Å, b = 3.6322 Å, c = 16.6714 Å
α = 90.00°, β = 90.00°, γ = 90.00°
Last column: nearest neighbours and their distance in Å.
Space group I-42d (No. 122)
Inequivalent atoms, fractional coordinates:
Mn: 0.0000 0.0000 0.0000  4 Cr 2.39, 4 Pt 2.57
Cr: 0.1991 0.2500 0.1250  2 Cr 2.32, 2 Mn 2.39, 2 Pt 2.52
Pt: 0.0000 0.0000 0.5000  4 Cr 2.52, 4 Mn 2.57

6.
Density functional theory data (PBE) for Tb3Sm3Ho2 after structural relaxation.

Output
Its formation energy is 0.087 eV/atom. The density of states at the Fermi level comes out at 1.765 states/eV per atom. The calculation puts the total energy at -4.564 eV/atom. Its crystal system is monoclinic.

a = 16.2660 Å, b = 5.7345 Å, c = 6.0073 Å
α = 90.00°, β = 111.04°, γ = 90.00°
Last column: nearest neighbours and their distance in Å.
Space group C2/m (No. 12)
Inequivalent atoms, fractional coordinates:
Tb: 0.0000 0.0000 0.0000  2 Tb 3.37, 4 Sm 3.54
Tb: 0.1326 0.0000 0.5785  1 Tb 3.37, 4 Ho 3.44-3.55, 5 Sm 3.52-3.69
Sm: 0.0000 0.5000 0.5000  2 Sm 3.32, 4 Tb 3.52
Sm: 0.1339 0.5000 0.1934  1 Sm 3.32, 4 Ho 3.42-3.54, 5 Tb 3.54-3.69
Ho: 0.2502 0.0000 0.1827  5 Sm 3.42-3.82, 5 Tb 3.44-3.82, 2 Ho 3.61

7.
Density functional theory data (PBE) for Be17NbCu after structural relaxation.

Output
Its formation energy is -0.092 eV/atom. The density of states at the Fermi level comes out at 0.251 states/eV per atom. The calculation puts the total energy at -4.172 eV/atom. Its crystal system is trigonal.

a = 7.3197 Å, b = 7.3197 Å, c = 10.8402 Å
α = 90.00°, β = 90.00°, γ = 120.00°
Last column: nearest neighbours and their distance in Å.
Space group R3m (No. 160, hexagonal axes)
Inequivalent atoms, fractional coordinates:
Be: 0.0000 0.0000 0.0581  7 Be 2.17-2.29
Be: 0.0000 0.0000 0.2584  7 Be 2.17-2.29
Be: 0.0039 0.5019 0.3155  9 Be 2.10-2.29
Be: 0.0338 0.3603 0.8258  8 Be 2.10-2.29
Be: 0.1687 0.3374 0.3333  9 Be 2.09-2.29
Be: 0.1727 0.3455 0.9995  10 Be 2.09-2.28
Nb: 0.0000 0.0000 0.4955  19 Be 2.57-2.79
Cu: 0.0000 0.0000 0.7777  12 Be 2.41-2.58

8.
Density functional theory data (PBE) for Dy2Y3HoP6 after structural relaxation.

Output
Its formation energy is -1.622 eV/atom. The density of states at the Fermi level comes out at 0.141 states/eV per atom. The calculation puts the total energy at -7.091 eV/atom. Its crystal system is monoclinic.

a = 6.9409 Å, b = 12.0200 Å, c = 6.9409 Å
α = 90.00°, β = 109.45°, γ = 90.00°
Last column: nearest neighbours and their distance in Å.
Space group C2/m (No. 12)
Inequivalent atoms, fractional coordinates:
Dy: 0.0000 0.1666 0.0000  6 P 2.83
Y: 0.0000 0.0000 0.5000  6 P 2.84
Y: 0.0000 0.3332 0.5000  6 P 2.84
Ho: 0.0000 0.5000 0.0000  6 P 2.83
P: 0.2493 0.3336 0.2489  1 Ho 2.83, 2 Dy 2.83, 3 Y 2.84
P: 0.2503 0.0000 0.2490  1 Ho 2.83, 2 Dy 2.83, 3 Y 2.84

9.
Density functional theory data (PBE) for MnCd after structural relaxation.

Output
Its formation energy is 0.316 eV/atom. The density of states at the Fermi level comes out at 0.676 states/eV per atom. The calculation puts the total energy at -4.726 eV/atom. Its crystal system is monoclinic.

a = 10.7675 Å, b = 2.9627 Å, c = 5.0122 Å
α = 90.00°, β = 116.92°, γ = 90.00°
Last column: nearest neighbours and their distance in Å.
Space group C2/m (No. 12)
Inequivalent atoms, fractional coordinates:
Mn: 0.1338 0.0000 0.3101  4 Mn 2.79-2.96, 7 Cd 2.90-2.94
Cd: 0.1200 0.5000 0.7989  7 Mn 2.90-2.94, 5 Cd 2.94-3.00

10.
Density functional theory data (PBE) for Al2SbPb after structural relaxation.

Output
The density of states at the Fermi level comes out at 0.129 states/eV per atom. The value obtained for the formation energy (no corrections) is 126.4 meV per atom. The calculation puts the total energy at -3.703 eV/atom. Its crystal system is tetragonal.

a = 3.7547 Å, b = 3.7547 Å, c = 7.2902 Å
α = 90.00°, β = 90.00°, γ = 90.00°
Last column: nearest neighbours and their distance in Å.
Space group P4mm (No. 99)
Inequivalent atoms, fractional coordinates:
Al: 0.0000 0.0000 0.0000  4 Sb 2.92, 1 Pb 3.05, 4 Al 3.05
Al: 0.5000 0.5000 0.2055  1 Sb 2.73, 4 Al 3.05
Sb: 0.5000 0.5000 0.8317  5 Al 2.73-2.92
Pb: 0.0000 0.0000 0.4181  5 Al 3.05-3.07

11.
Density functional theory data (PBE) for Rh2CIF after structural relaxation.

Output
The density of states at the Fermi level comes out at 1.420 states/eV per atom. The value obtained for the formation energy (no corrections) is 1546.1 meV per atom. The calculation puts the total energy at -3.924 eV/atom. Its crystal system is tetragonal.

a = 4.5514 Å, b = 4.5514 Å, c = 3.7896 Å
α = 90.00°, β = 90.00°, γ = 90.00°
Last column: nearest neighbours and their distance in Å.
Space group P4/mmm (No. 123)
Inequivalent atoms, fractional coordinates:
Rh: 0.0000 0.5000 0.0000  2 F 2.28
C: 0.0000 0.0000 0.5000  2 F 1.89
I: 0.5000 0.5000 0.5000  8 Rh 2.96, 4 C 3.22
F: 0.0000 0.0000 0.0000  2 C 1.89

12.
Density functional theory data (PBE) for AcPrNiIr after structural relaxation.

Output
Its formation energy is -0.455 eV/atom. The density of states at the Fermi level comes out at 0.674 states/eV per atom. The calculation puts the total energy at -6.338 eV/atom. Its crystal system is orthorhombic.

a = 4.2785 Å, b = 4.0947 Å, c = 11.2711 Å
α = 90.00°, β = 90.00°, γ = 90.00°
Last column: nearest neighbours and their distance in Å.
Space group Amm2 (No. 38)
Inequivalent atoms, fractional coordinates:
Ac: 0.0000 0.0000 0.0000  4 Ni 3.07, 3 Ir 3.18-3.19
Pr: 0.5000 0.0000 0.2777  4 Ir 3.04, 3 Ni 3.10-3.30
Ni: 0.5000 0.0000 0.5708  2 Ir 2.70
Ir: 0.0000 0.0000 0.7176  2 Ni 2.70

Copy entry 3 word for word.
Density functional theory data (PBE) for BaCu3Mo after structural relaxation.

Output
Its formation energy is 2.331 eV/atom. The density of states at the Fermi level comes out at 1.273 states/eV per atom. The calculation puts the total energy at -2.678 eV/atom. Its crystal system is cubic.

a = 5.0192 Å, b = 5.0192 Å, c = 5.0192 Å
α = 90.00°, β = 90.00°, γ = 90.00°
Last column: nearest neighbours and their distance in Å.
Space group Pm-3m (No. 221)
Inequivalent atoms, fractional coordinates:
Ba: 0.0000 0.0000 0.0000  6 Cu 2.51
Cu: 0.0000 0.0000 0.5000  2 Ba 2.51
Mo: 0.5000 0.5000 0.5000  12 Cu 3.55

Which of these has the lowest density of states at the Fermi level? Al2SbPb